(1)
Compound: LiZn2Ru
Source: Alexandria
Functional: meta-GGA SCAN
Structure: PBEsol geometry

Cell lengths 3.043, 4.138, 4.138 Å; angles 90.00, 90.00, 90.00 degrees
Element x y z (fractional)
Ru: 0.500 0.000 0.000
Zn: 0.000 0.000 0.500
Zn: 0.000 0.500 0.000
Li: 0.500 0.500 0.500

space group = P4/mmm (123)
electronic total energy = -16.275 eV/atom
energy of formation from the pure elements = -213 meV/atom

(2)
Compound: Li2ZrRu
Source: Alexandria
Functional: meta-GGA SCAN
Structure: PBEsol geometry

Cell lengths 3.230, 3.230, 6.624 Å; angles 90.00, 90.00, 90.00 degrees
Element x y z (fractional)
Li: 0.500 0.500 0.042
Li: 0.000 0.000 0.266
Ru: 0.500 0.500 0.497
Zr: 0.000 0.000 0.694

space group = P4mm (99)
electronic total energy = -17.674 eV/atom
energy of formation from the pure elements = -98 meV/atom
polymorph energy (0 for the lowest one) = 0.000 eV/atom

(3)
Compound: Li2ZrRu
Source: Alexandria
Functional: meta-GGA SCAN
Structure: PBEsol geometry

Cell lengths 3.627, 3.627, 10.688 Å; angles 99.77, 99.77, 90.00 degrees
Element x y z (fractional)
Ru: 0.250 0.750 0.500
Ru: 0.000 0.000 0.000
Zr: 0.750 0.250 0.500
Zr: 0.500 0.500 0.000
Li: 0.342 0.875 0.250
Li: 0.908 0.375 0.250
Li: 0.125 0.092 0.750
Li: 0.625 0.658 0.750

space group = I-42d (122)
electronic total energy = -17.510 eV/atom
energy of formation from the pure elements = 66 meV/atom
polymorph energy (0 for the lowest one) = 0.165 eV/atom

(4)
Compound: LiZrRu2
Source: Alexandria
Functional: meta-GGA SCAN
Structure: PBEsol geometry

Cell lengths 2.831, 3.907, 5.365 Å; angles 90.00, 90.00, 90.00 degrees
Element x y z (fractional)
Li: 0.500 0.500 0.769
Ru: 0.000 0.000 0.011
Ru: 0.500 0.500 0.222
Zr: 0.000 0.000 0.499

space group = Pmm2 (25)
electronic total energy = -25.674 eV/atom
energy of formation from the pure elements = 12 meV/atom

(5)
Compound: LiZr2Ru
Source: Alexandria
Functional: meta-GGA SCAN
Structure: PBEsol geometry

Cell lengths 3.256, 4.586, 4.586 Å; angles 90.00, 90.00, 90.00 degrees
Element x y z (fractional)
Ru: 0.500 0.000 0.000
Zr: 0.000 0.000 0.500
Zr: 0.000 0.500 0.000
Li: 0.500 0.500 0.500

space group = P4/mmm (123)
electronic total energy = -24.957 eV/atom
energy of formation from the pure elements = -304 meV/atom

(6)
Compound: Li2ZrRu
Source: Alexandria
Functional: meta-GGA SCAN
Structure: PBEsol geometry

Cell lengths 3.385, 3.385, 5.117 Å; angles 90.00, 90.00, 90.00 degrees
Element x y z (fractional)
Li: 0.000 0.000 0.793
Li: 0.000 0.000 0.207
Ru: 0.500 0.500 0.000
Zr: 0.500 0.500 0.500

space group = P4/mmm (123)
electronic total energy = -17.421 eV/atom
energy of formation from the pure elements = 155 meV/atom
polymorph energy (0 for the lowest one) = 0.253 eV/atom